K8InTe6 | PBE | relaxed

Computed properties:
E   -2.882 eV/atom
Energy relative to the elements, uncorrected   -0.86 eV per atom
Magnetic moment   0.6 μB per formula unit

a = 10.800 Å, b = 8.443 Å, c = 14.355 Å
α = 90.00°, β = 90.00°, γ = 90.00°
Space group Pmn2_1 (No. 31)
One atom of each set of equivalent atoms:
1 K 0.000 0.073 0.145 (multiplicity 2)
2 K 0.000 0.113 0.703 (multiplicity 2)
3 K 0.186 0.470 0.500 (multiplicity 4)
4 K 0.193 0.649 0.768 (multiplicity 4)
5 K 0.200 0.930 0.422 (multiplicity 4)
6 In 0.000 0.661 0.084 (multiplicity 2)
7 Te 0.000 0.242 0.359 (multiplicity 2)
8 Te 0.000 0.391 0.963 (multiplicity 2)
9 Te 0.000 0.764 0.586 (multiplicity 2)
10 Te 0.000 0.881 0.927 (multiplicity 2)
11 Te 0.207 0.728 0.197 (multiplicity 4)